{
  "formula": "Y3MgIn2",
  "functional": "PBE",
  "state": "optimized geometry",
  "lattice": [[3.764, 0.000, 0.000], [0.000, 3.764, 0.000], [0.000, 0.000, 11.333]],
  "species": ["Y", "Y", "Y", "Mg", "In", "In"],
  "fractional_positions": [[0.000, 0.000, 0.000], [0.000, 0.000, 0.336], [0.000, 0.000, 0.664], [0.500, 0.500, 0.500], [0.500, 0.500, 0.173], [0.500, 0.500, 0.827]],
  "formation_energy_mev_per_atom": -389
}